Entry 1:
Compound: SrZn3In9
Source: the Alexandria database
Functional: PBE
Structure: optimized geometry

Results
* calculated volume: 329 Å³/cell
* ρ: 6.65 g cm⁻³
* energy of formation: -0.048 eV/atom
* space-group type: C2/m

Cell: 8.0912 8.0912 7.8598 Å, 95.47 95.47 138.42°
Fractional coordinates of all 13 atoms:
Sr: 0.0000 0.0000 0.0000
Zn: 0.0000 0.5000 0.0000
Zn: 0.5000 0.0000 0.0000
Zn: 0.5000 0.5000 0.5000
In: 0.0000 0.0000 0.5000
In: 0.0232 0.6594 0.6572
In: 0.2997 0.5182 0.7920
In: 0.3406 0.9768 0.3428
In: 0.4818 0.7003 0.2080
In: 0.5182 0.2997 0.7920
In: 0.6594 0.0232 0.6572
In: 0.7003 0.4818 0.2080
In: 0.9768 0.3406 0.3428

Entry 2:
Compound: Sr4ZnIn
Source: the Alexandria database
Functional: PBE
Structure: optimized geometry

Results
* calculated volume: 236 Å³/cell
* ρ: 3.74 g cm⁻³
* energy of formation: -0.221 eV/atom
* space-group type: P4/mmm
* offset from the most stable computed form: 0 meV/atom

Cell: 4.0301 4.0301 14.5022 Å, 90.00 90.00 90.00°
Fractional coordinates of all 6 atoms:
Sr: 0.0000 0.0000 0.1299
Sr: 0.0000 0.0000 0.8701
Sr: 0.5000 0.5000 0.3612
Sr: 0.5000 0.5000 0.6388
Zn: 0.5000 0.5000 0.0000
In: 0.0000 0.0000 0.5000

Entry 3:
Compound: Sr2ZnIn12
Source: the Alexandria database
Functional: PBE
Structure: optimized geometry

Results
* calculated volume: 852 Å³/cell
* ρ: 6.31 g cm⁻³
* energy of formation: -0.170 eV/atom
* space-group type: P4/nbm

Cell: 6.9623 6.9623 17.5850 Å, 90.00 90.00 90.00°
Fractional coordinates of all 30 atoms:
Sr: 0.2500 0.7500 0.2457
Sr: 0.2500 0.7500 0.7543
Sr: 0.7500 0.2500 0.2457
Sr: 0.7500 0.2500 0.7543
Zn: 0.2500 0.7500 0.0000
Zn: 0.7500 0.2500 0.0000
In: 0.0002 0.9998 0.0860
In: 0.9998 0.0002 0.9140
In: 0.9998 0.4998 0.0860
In: 0.0002 0.5002 0.9140
In: 0.0831 0.5831 0.4306
In: 0.0831 0.9169 0.5694
In: 0.2500 0.2500 0.1832
In: 0.2500 0.2500 0.3446
In: 0.2500 0.2500 0.6554
In: 0.2500 0.2500 0.8168
In: 0.4169 0.5831 0.5694
In: 0.4169 0.9169 0.4306
In: 0.5002 0.0002 0.0860
In: 0.4998 0.9998 0.9140
In: 0.4998 0.5002 0.0860
In: 0.5002 0.4998 0.9140
In: 0.5831 0.0831 0.5694
In: 0.5831 0.4169 0.4306
In: 0.7500 0.7500 0.1832
In: 0.7500 0.7500 0.3446
In: 0.7500 0.7500 0.6554
In: 0.7500 0.7500 0.8168
In: 0.9169 0.0831 0.4306
In: 0.9169 0.4169 0.5694

Entry 4:
Compound: Sr3Zn8In
Source: the Alexandria database
Functional: PBE
Structure: optimized geometry

Results
* calculated volume: 265 Å³/cell
* ρ: 5.65 g cm⁻³
* energy of formation: -0.152 eV/atom
* space-group type: R3m

Cell: 9.8499 9.8499 9.8499 Å, 33.89 33.89 33.89°
Fractional coordinates of all 12 atoms:
Sr: 0.0000 0.0000 0.0000
Sr: 0.1277 0.1277 0.1277
Sr: 0.5090 0.5090 0.5090
Zn: 0.0655 0.5647 0.5647
Zn: 0.0661 0.0661 0.5659
Zn: 0.0661 0.5659 0.0661
Zn: 0.3151 0.3151 0.3151
Zn: 0.5647 0.0655 0.5647
Zn: 0.5647 0.5647 0.0655
Zn: 0.5659 0.0661 0.0661
Zn: 0.8176 0.8176 0.8176
In: 0.6324 0.6324 0.6324

Entry 5:
Compound: Sr2ZnIn2
Source: the Alexandria database
Functional: PBE
Structure: optimized geometry

Results
* calculated volume: 152 Å³/cell
* ρ: 5.15 g cm⁻³
* energy of formation: -0.334 eV/atom
* space-group type: Amm2
* offset from the most stable computed form: 39 meV/atom

Cell: 4.0266 8.1211 8.1211 Å, 34.82 90.00 90.00°
Fractional coordinates of all 5 atoms:
Sr: 0.0000 0.0000 0.0000
Sr: 0.0000 0.2386 0.2386
Zn: 0.5000 0.4176 0.4176
In: 0.5000 0.6149 0.6149
In: 0.5000 0.8230 0.8230

Entry 6:
Compound: Sr6Zn2In
Source: the Alexandria database
Functional: PBE
Structure: optimized geometry

Results
* calculated volume: 699 Å³/cell
* ρ: 3.67 g cm⁻³
* energy of formation: -0.190 eV/atom
* space-group type: Immm

Cell: 9.6937 9.6937 9.6937 Å, 113.12 108.82 106.54°
Fractional coordinates of all 18 atoms:
Sr: 0.0606 0.2483 0.8124
Sr: 0.1781 0.2745 0.4526
Sr: 0.1781 0.7255 0.9037
Sr: 0.3327 0.0279 0.6952
Sr: 0.3327 0.6375 0.3048
Sr: 0.4359 0.2483 0.1876
Sr: 0.5641 0.7517 0.8124
Sr: 0.6673 0.3625 0.6952
Sr: 0.6673 0.9721 0.3048
Sr: 0.8219 0.2745 0.0963
Sr: 0.8219 0.7255 0.5474
Sr: 0.9394 0.7517 0.1876
Zn: 0.1129 0.6129 0.5000
Zn: 0.3340 0.0000 0.3340
Zn: 0.6660 0.0000 0.6660
Zn: 0.8871 0.3871 0.5000
In: 0.0000 0.0000 0.0000
In: 0.5000 0.5000 0.0000

Entry 7:
Compound: Sr2ZnIn2
Source: the Alexandria database
Functional: PBE
Structure: optimized geometry

Results
* calculated volume: 319 Å³/cell
* ρ: 4.90 g cm⁻³
* energy of formation: -0.242 eV/atom
* space-group type: P4/mbm
* offset from the most stable computed form: 131 meV/atom

Cell: 7.8299 7.8299 5.1972 Å, 90.00 90.00 90.00°
Fractional coordinates of all 10 atoms:
Sr: 0.1697 0.3303 0.0000
Sr: 0.3303 0.8303 0.0000
Sr: 0.6697 0.1697 0.0000
Sr: 0.8303 0.6697 0.0000
Zn: 0.0000 0.0000 0.5000
Zn: 0.5000 0.5000 0.5000
In: 0.1368 0.6368 0.5000
In: 0.3632 0.1368 0.5000
In: 0.6368 0.8632 0.5000
In: 0.8632 0.3632 0.5000

Entry 8:
Compound: SrZn2In3
Source: the Alexandria database
Functional: PBE
Structure: optimized geometry

Results
* calculated volume: 298 Å³/cell
* ρ: 6.27 g cm⁻³
* energy of formation: -0.187 eV/atom
* space-group type: C2/m

Cell: 9.0370 9.0370 7.7456 Å, 112.27 112.27 30.86°
Fractional coordinates of all 12 atoms:
Sr: 0.1274 0.1274 0.1849
Sr: 0.8726 0.8726 0.8151
Zn: 0.2245 0.2245 0.6840
Zn: 0.4885 0.4885 0.1537
Zn: 0.5115 0.5115 0.8463
Zn: 0.7755 0.7755 0.3160
In: 0.0545 0.0545 0.6957
In: 0.3146 0.3146 0.0813
In: 0.3574 0.3574 0.4993
In: 0.6426 0.6426 0.5007
In: 0.6854 0.6854 0.9187
In: 0.9455 0.9455 0.3043

Entry 9:
Compound: Sr6ZnIn5
Source: the Alexandria database
Functional: PBE
Structure: optimized geometry

Results
* calculated volume: 399 Å³/cell
* ρ: 4.85 g cm⁻³
* energy of formation: -0.388 eV/atom
* space-group type: Cmmm

Cell: 9.0154 9.0154 8.2023 Å, 90.00 90.00 143.20°
Fractional coordinates of all 12 atoms:
Sr: 0.0000 0.0000 0.2445
Sr: 0.0000 0.0000 0.7555
Sr: 0.3362 0.6638 0.2487
Sr: 0.3362 0.6638 0.7513
Sr: 0.6638 0.3362 0.2487
Sr: 0.6638 0.3362 0.7513
Zn: 0.5000 0.5000 0.0000
In: 0.1677 0.8323 0.5000
In: 0.1703 0.8297 0.0000
In: 0.5000 0.5000 0.5000
In: 0.8297 0.1703 0.0000
In: 0.8323 0.1677 0.5000

Entry 10:
Compound: Sr2ZnIn
Source: the Alexandria database
Functional: PBE
Structure: optimized geometry

Results
* calculated volume: 129 Å³/cell
* ρ: 4.58 g cm⁻³
* energy of formation: -0.307 eV/atom
* space-group type: Pmm2

Cell: 3.9634 5.7030 5.7022 Å, 90.00 90.00 90.00°
Fractional coordinates of all 4 atoms:
Sr: 0.0000 0.0000 0.0000
Sr: 0.0000 0.5000 0.4977
Zn: 0.5000 0.5000 0.9961
In: 0.5000 0.0000 0.5009

Entry 11:
Compound: Sr8ZnIn2
Source: the Alexandria database
Functional: PBE
Structure: optimized geometry

Results
* calculated volume: 452 Å³/cell
* ρ: 3.66 g cm⁻³
* energy of formation: -0.208 eV/atom
* space-group type: C2/m

Cell: 10.6653 10.6653 8.0455 Å, 107.95 107.95 31.44°
Fractional coordinates of all 11 atoms:
Sr: 0.0286 0.0286 0.2899
Sr: 0.2051 0.2051 0.8054
Sr: 0.3364 0.3364 0.5417
Sr: 0.4034 0.4034 0.0572
Sr: 0.5966 0.5966 0.9428
Sr: 0.6636 0.6636 0.4583
Sr: 0.7949 0.7949 0.1946
Sr: 0.9714 0.9714 0.7101
Zn: 0.5000 0.5000 0.5000
In: 0.1821 0.1821 0.2045
In: 0.8179 0.8179 0.7955

Entry 12:
Compound: Sr2ZnIn3
Source: the Alexandria database
Functional: PBE
Structure: optimized geometry

Results
* calculated volume: 172 Å³/cell
* ρ: 5.64 g cm⁻³
* energy of formation: -0.415 eV/atom
* space-group type: Cm
* offset from the most stable computed form: 0 meV/atom

Cell: 6.3798 6.3798 8.1093 Å, 129.31 129.31 46.06°
Fractional coordinates of all 6 atoms:
Sr: 0.0000 0.0000 0.0000
Sr: 0.0901 0.0901 0.5890
Zn: 0.3754 0.3754 0.5593
In: 0.3823 0.3823 0.1984
In: 0.6916 0.6916 0.9863
In: 0.7170 0.7170 0.4065

Raw total energy / eV per atom: -2.37; -2.01; -2.67; -1.65; -2.36; -1.90; -2.26; -2.26; -2.48; -2.15; -2.05; -2.56